(1)
This record from Alexandria describes a relaxed TlBS2N crystal. The functional is PBE.

Geometry as CIF:
```
data_TlBS2N
_symmetry_space_group_name_H-M 'P 4/m m m'
_symmetry_Int_Tables_number 123
_symmetry_space_group_name_Hall '-P 4 2'
_cell_length_a 6.313
_cell_length_b 6.313
_cell_length_c 2.628
_cell_angle_alpha 90.00
_cell_angle_beta 90.00
_cell_angle_gamma 90.00
loop_
_atom_site_label
_atom_site_type_symbol
_atom_site_fract_x
_atom_site_fract_y
_atom_site_fract_z
Tl1 Tl 0.000 0.000 0.000
B1 B 0.500 0.500 0.500
S1 S 0.000 0.500 0.500
N1 N 0.500 0.500 0.000
```

Values from the calculation:
formation energy without anion corrections: 0.27 eV/atom
E above lowest polymorph: 0.000 eV per atom
total moment: 1.060 μB per formula unit
mass density: 4.651 g/cm3
DOS(E_F): 4.0 states/eV/cell
final energy: -4.85 eV per atom

=====

(2)
This record from Alexandria describes a relaxed VBS2N crystal. The functional is PBE.

Geometry as CIF:
```
data_VBS2N
_symmetry_space_group_name_H-M 'P 4/m m m'
_symmetry_Int_Tables_number 123
_symmetry_space_group_name_Hall '-P 4 2'
_cell_length_a 4.673
_cell_length_b 4.673
_cell_length_c 3.614
_cell_angle_alpha 90.00
_cell_angle_beta 90.00
_cell_angle_gamma 90.00
loop_
_atom_site_label
_atom_site_type_symbol
_atom_site_fract_x
_atom_site_fract_y
_atom_site_fract_z
V1 V 0.000 0.000 0.000
B1 B 0.500 0.500 0.500
S1 S 0.000 0.500 0.000
N1 N 0.000 0.000 0.500
```

Values from the calculation:
formation energy without anion corrections: 0.89 eV/atom
E above lowest polymorph: 0.566 eV per atom
total moment: 0.000 μB per formula unit
mass density: 2.944 g/cm3
DOS(E_F): 3.3 states/eV/cell
final energy: -5.59 eV per atom